Sm2Ho2Mg3 | PBE | optimized geometry

Summary:
electronic total energy: -3.33 eV/atom
total magnetic moment: 0.00 μB per atom
DOS at the Fermi energy: 7.15 states/eV/f.u.
space-group type: C2/m, No. 12
ΔH_f (0 K): 0.01 eV/atom

Cell lengths 3.5141, 8.3426, 7.5998 Å; angles 109.98, 103.37, 90.00 degrees
Positions (direct):
Sm 0.4264 0.2830 0.8528
Sm 0.5736 0.7170 0.1472
Ho 0.1440 0.4169 0.2881
Ho 0.8560 0.5831 0.7119
Mg 0.0000 0.0000 0.0000
Mg 0.2866 0.8629 0.5732
Mg 0.7134 0.1371 0.4268